Entry from the Alexandria database: an optimized crystal structure of P3Pb5O12 (GGA-PBE).

Output
Space group: No. 176
DOS at the Fermi energy in states/eV/atom: 0.15
Raw formation energy in meV per atom: -1813

Cell lengths 9.9778, 9.9778, 7.4072 Å; angles 90.00, 90.00, 120.00 degrees
Closest atoms and distances in Å follow each position.
Positions (direct):
P1 0.0290 0.6281 0.2500  4 O 1.55-1.57
P2 0.3719 0.4009 0.2500  4 O 1.55-1.57
P3 0.4009 0.0290 0.7500  4 O 1.55-1.57
P4 0.5991 0.9710 0.2500  4 O 1.55-1.57
P5 0.6281 0.5991 0.7500  4 O 1.55-1.57
P6 0.9710 0.3719 0.7500  4 O 1.55-1.57
Pb1 0.0052 0.2414 0.2500  5 O 2.54-2.66
Pb2 0.2362 0.9948 0.2500  5 O 2.54-2.66
Pb3 0.2414 0.2362 0.7500  5 O 2.54-2.66
Pb4 0.3333 0.6667 0.5027  6 O 2.60-2.67
Pb5 0.3333 0.6667 0.9973  6 O 2.60-2.67
Pb6 0.6667 0.3333 0.0027  6 O 2.60-2.67
Pb7 0.6667 0.3333 0.4973  6 O 2.60-2.67
Pb8 0.7586 0.7638 0.2500  5 O 2.54-2.66
Pb9 0.7638 0.0052 0.7500  5 O 2.54-2.66
Pb10 0.9948 0.7586 0.7500  5 O 2.54-2.66
O1 0.0846 0.7366 0.0808  1 P 1.57
O2 0.0846 0.7366 0.4192  1 P 1.57
O3 0.1144 0.5320 0.2500  1 P 1.57
O4 0.1489 0.4802 0.7500  1 P 1.55
O5 0.2634 0.3480 0.0808  1 P 1.57
O6 0.2634 0.3480 0.4192  1 P 1.57
O7 0.3314 0.8511 0.7500  1 P 1.55
O8 0.3480 0.0846 0.5808  1 P 1.57
O9 0.3480 0.0846 0.9192  1 P 1.57
O10 0.4176 0.8856 0.2500  1 P 1.57
O11 0.4680 0.5824 0.2500  1 P 1.57
O12 0.4802 0.3314 0.2500  1 P 1.55
O13 0.5198 0.6686 0.7500  1 P 1.55
O14 0.5320 0.4176 0.7500  1 P 1.57
O15 0.5824 0.1144 0.7500  1 P 1.57
O16 0.6520 0.9154 0.0808  1 P 1.57
O17 0.6520 0.9154 0.4192  1 P 1.57
O18 0.6686 0.1489 0.2500  1 P 1.55
O19 0.7366 0.6520 0.5808  1 P 1.57
O20 0.7366 0.6520 0.9192  1 P 1.57
O21 0.8511 0.5198 0.2500  1 P 1.55
O22 0.8856 0.4680 0.7500  1 P 1.57
O23 0.9154 0.2634 0.5808  1 P 1.57
O24 0.9154 0.2634 0.9192  1 P 1.57